No. 1
Here is an optimized crystal structure of CeBH2 from the Alexandria database. Energies are from GGA-PBE.

Unit cell a=3.776 b=3.776 c=3.875 alpha=60.84 beta=60.84 gamma=60.00
Positions (direct):
H 0.240 0.240 0.279
H 0.760 0.760 0.721
B 0.500 0.500 0.500
Ce 0.000 0.000 0.000

Total magnetic moment ... 0.00 μB per formula unit
Electronic total energy ... -4.87 eV/atom
Mass density ... 6.422 g/cm3
V ... 39.5 Å³/f.u.

No. 2
Here is an optimized crystal structure of CeBH from the Alexandria database. Energies are from GGA-PBE.

Unit cell a=3.716 b=3.716 c=4.055 alpha=117.28 beta=117.28 gamma=90.00
Positions (direct):
H 0.555 0.555 0.109
B 0.349 0.349 0.699
Ce 0.946 0.946 0.892

Total magnetic moment ... 0.17 μB per formula unit
Energy relative to the lowest polymorph listed for this composition ... 0.27 eV per formula unit
Electronic total energy ... -5.33 eV/atom
Mass density ... 5.916 g/cm3
V ... 42.6 Å³/f.u.

No. 3
Here is an optimized crystal structure of CeB3H12 from the Alexandria database. Energies are from GGA-PBE.

Unit cell a=8.053 b=8.053 c=8.102 alpha=60.20 beta=60.20 gamma=60.00
Positions (direct):
Ce 0.082 0.082 0.754
Ce 0.582 0.582 0.254
B 0.823 0.332 0.004
B 0.323 0.341 0.504
B 0.832 0.323 0.504
B 0.332 0.841 0.004
B 0.841 0.823 0.004
B 0.341 0.832 0.504
H 0.183 0.993 0.030
H 0.355 0.193 0.653
H 0.981 0.171 0.478
H 0.971 0.366 0.855
H 0.471 0.309 0.355
H 0.481 0.870 0.978
H 0.855 0.298 0.153
H 0.171 0.370 0.478
H 0.683 0.294 0.530
H 0.798 0.355 0.653
H 0.866 0.471 0.355
H 0.294 0.493 0.530
H 0.870 0.671 0.978
H 0.794 0.183 0.030
H 0.366 0.809 0.855
H 0.298 0.693 0.153
H 0.693 0.855 0.153
H 0.671 0.481 0.978
H 0.493 0.683 0.530
H 0.809 0.971 0.855
H 0.309 0.866 0.355
H 0.993 0.794 0.030
H 0.193 0.798 0.653
H 0.370 0.981 0.478

Total magnetic moment ... 1.00 μB per formula unit
Electronic total energy ... -4.43 eV/atom
Mass density ... 1.646 g/cm3
V ... 186.3 Å³/f.u.

No. 4
Here is an optimized crystal structure of CeB2H8 from the Alexandria database. Energies are from GGA-PBE.

Unit cell a=5.986 b=4.383 c=4.383 alpha=60.02 beta=68.51 gamma=68.51
Positions (direct):
Ce 0.000 0.000 0.000
B 0.704 0.765 0.765
B 0.296 0.235 0.235
H 0.224 0.414 0.948
H 0.776 0.052 0.586
H 0.479 0.840 0.840
H 0.521 0.160 0.160
H 0.224 0.948 0.414
H 0.776 0.586 0.052
H 0.777 0.586 0.586
H 0.223 0.414 0.414

Total magnetic moment ... 1.91 μB per formula unit
Energy relative to the lowest polymorph listed for this composition ... 0.00 eV per formula unit
Electronic total energy ... -4.44 eV/atom
Mass density ... 3.124 g/cm3
V ... 90.2 Å³/f.u.

No. 5
Here is an optimized crystal structure of CeB2H7 from the Alexandria database. Energies are from GGA-PBE.

Unit cell a=3.209 b=7.218 c=7.218 alpha=149.47 beta=90.00 gamma=90.00
Positions (direct):
Ce 0.000 0.000 0.000
B 0.500 0.611 0.389
B 0.500 0.389 0.611
H 0.000 0.597 0.403
H 0.000 0.403 0.597
H 0.500 0.079 0.400
H 0.500 0.921 0.600
H 0.500 0.400 0.079
H 0.500 0.600 0.921
H 0.500 0.500 0.500

Total magnetic moment ... 1.22 μB per formula unit
Electronic total energy ... -4.28 eV/atom
Mass density ... 3.299 g/cm3
V ... 84.9 Å³/f.u.

No. 6
Here is an optimized crystal structure of CeBH from the Alexandria database. Energies are from GGA-PBE.

Unit cell a=3.736 b=4.166 c=5.237 alpha=90.00 beta=90.71 gamma=90.00
Positions (direct):
Ce 0.912 0.291 0.509
Ce 0.333 0.791 0.003
B 0.787 0.291 0.997
B 0.458 0.791 0.515
H 0.524 0.291 0.156
H 0.721 0.791 0.356

Total magnetic moment ... 0.00 μB per formula unit
Energy relative to the lowest polymorph listed for this composition ... 0.00 eV per formula unit
Electronic total energy ... -5.42 eV/atom
Mass density ... 6.192 g/cm3
V ... 40.7 Å³/f.u.

No. 7
Here is an optimized crystal structure of CeB2H8 from the Alexandria database. Energies are from GGA-PBE.

Unit cell a=4.101 b=5.421 c=5.421 alpha=78.09 beta=68.59 gamma=68.59
Positions (direct):
Ce 0.000 0.000 0.000
B 0.737 0.757 0.757
B 0.263 0.243 0.243
H 0.357 0.292 0.995
H 0.643 0.005 0.708
H 0.570 0.670 0.670
H 0.430 0.330 0.330
H 0.357 0.995 0.292
H 0.643 0.708 0.005
H 0.071 0.664 0.664
H 0.929 0.336 0.336

Total magnetic moment ... 1.68 μB per formula unit
Energy relative to the lowest polymorph listed for this composition ... 0.58 eV per formula unit
Electronic total energy ... -4.39 eV/atom
Mass density ... 2.709 g/cm3
V ... 104.1 Å³/f.u.

No. 8
Here is an optimized crystal structure of CeBH from the Alexandria database. Energies are from GGA-PBE.

Unit cell a=3.910 b=3.710 c=6.235 alpha=72.69 beta=90.00 gamma=90.00
Positions (direct):
H 0.750 0.452 0.096
H 0.250 0.548 0.904
B 0.750 0.345 0.309
B 0.250 0.655 0.691
Ce 0.750 0.142 0.716
Ce 0.250 0.858 0.284

Total magnetic moment ... 0.00 μB per formula unit
Energy relative to the lowest polymorph listed for this composition ... 0.51 eV per formula unit
Electronic total energy ... -5.26 eV/atom
Mass density ... 5.843 g/cm3
V ... 43.2 Å³/f.u.